Entry 1:
# Pa2GeOs

A geometry-optimized Pa2GeOs structure (PBE-GGA, Alexandria via LeMat-Bulk).

Cell: 4.0035 5.8622 8.2390 Å, 112.59 90.00 90.00°
Atoms (fractional coordinates):
Pa  0.7500  0.2200  0.4040
Pa  0.2500  0.7800  0.5960
Pa  0.2500  0.7854  0.0597
Pa  0.7500  0.2146  0.9403
Ge  0.7500  0.6715  0.3020
Ge  0.2500  0.3285  0.6980
Os  0.2500  0.3168  0.1991
Os  0.7500  0.6832  0.8009

Energy above the most stable polymorph in this dataset (meV/atom): 0
Formation energy (eV/atom): -0.476
VASP energy (eV per atom): -9.186
N(E_F) (states/eV/cell): 11.15

---

Entry 2:
# Fe2NiPd9

A geometry-optimized Fe2NiPd9 structure (PBE-GGA, Alexandria via LeMat-Bulk).

Cell: 3.8917 3.8917 11.6212 Å, 90.00 90.00 90.00°
Atoms (fractional coordinates):
Fe  0.0000  0.0000  0.3296
Fe  0.0000  0.0000  0.6704
Ni  0.0000  0.0000  0.0000
Pd  0.5000  0.5000  0.0000
Pd  0.5000  0.5000  0.3335
Pd  0.5000  0.5000  0.6665
Pd  0.5000  0.0000  0.1672
Pd  0.5000  0.0000  0.5000
Pd  0.5000  0.0000  0.8328
Pd  0.0000  0.5000  0.1672
Pd  0.0000  0.5000  0.5000
Pd  0.0000  0.5000  0.8328

Formation energy (eV/atom): -0.056
VASP energy (eV per atom): -5.842
N(E_F) (states/eV/cell): 13.28

---

Entry 3:
# DyTa3N6

A geometry-optimized DyTa3N6 structure (PBE-GGA, Alexandria via LeMat-Bulk).

Cell: 3.1410 8.9413 8.6635 Å, 107.76 90.00 90.00°
Atoms (fractional coordinates):
Dy  0.2500  0.3027  0.9347
Dy  0.7500  0.6973  0.0653
Ta  0.2500  0.1744  0.5345
Ta  0.7500  0.8256  0.4655
Ta  0.2500  0.4896  0.3164
Ta  0.7500  0.5104  0.6836
Ta  0.2500  0.9118  0.8383
Ta  0.7500  0.0882  0.1617
N  0.2500  0.3951  0.5209
N  0.7500  0.6049  0.4791
N  0.2500  0.9134  0.0802
N  0.7500  0.0866  0.9198
N  0.2500  0.9497  0.6089
N  0.7500  0.0503  0.3911
N  0.2500  0.7378  0.2951
N  0.7500  0.2622  0.7049
N  0.2500  0.5390  0.8566
N  0.7500  0.4610  0.1434
N  0.2500  0.2383  0.2154
N  0.7500  0.7617  0.7846

VASP energy (eV per atom): -10.161
E_form (uncorrected) (meV per atom): -1149.6
N(E_F) (states/eV/cell): 0.04

---

Entry 4:
# HfMn6Ge6

A geometry-optimized HfMn6Ge6 structure (PBE-GGA, Alexandria via LeMat-Bulk).

Cell: 5.1229 6.5225 6.5225 Å, 76.56 66.88 66.88°
Atoms (fractional coordinates):
Hf  0.0000  0.0000  0.0000
Mn  0.0000  0.5000  0.0000
Mn  0.5000  0.5000  0.0000
Mn  0.0000  0.0000  0.5000
Mn  0.5000  0.0000  0.5000
Mn  0.5000  0.7477  0.2523
Mn  0.5000  0.2523  0.7477
Ge  0.3322  0.6678  0.6678
Ge  0.6678  0.3322  0.3322
Ge  0.0000  0.3407  0.6593
Ge  0.0000  0.6593  0.3407
Ge  0.3364  0.1636  0.1636
Ge  0.6636  0.8364  0.8364

Energy above the most stable polymorph in this dataset (meV/atom): 14
Formation energy (eV/atom): -0.273
VASP energy (eV per atom): -7.402
N(E_F) (states/eV/cell): 5.31

---

Entry 5:
# ZnReCl

A geometry-optimized ZnReCl structure (PBE-GGA, Alexandria via LeMat-Bulk).

Cell: 8.4333 8.1592 2.9260 Å, 85.18 74.60 20.23°
Atoms (fractional coordinates):
Cl  0.9600  0.9600  0.0400
Re  0.3405  0.3405  0.6595
Zn  0.6995  0.6995  0.3005

Energy above the most stable polymorph in this dataset (meV/atom): 83
VASP energy (eV per atom): -4.699
E_form (uncorrected) (meV per atom): 490.1
N(E_F) (states/eV/cell): 2.36

---

Entry 6:
# Tb7TmSc3

A geometry-optimized Tb7TmSc3 structure (PBE-GGA, Alexandria via LeMat-Bulk).

Cell: 9.5884 9.5884 12.9289 Å, 100.76 100.76 138.72°
Atoms (fractional coordinates):
Tb  0.0923  0.9115  0.2501
Tb  0.0885  0.9077  0.7499
Tb  0.1231  0.4481  0.5368
Tb  0.1224  0.4472  0.0364
Tb  0.5528  0.8776  0.9636
Tb  0.5519  0.8769  0.4632
Tb  0.4978  0.4978  0.7499
Tb  0.5022  0.5022  0.2501
Tb  0.4472  0.1224  0.0364
Tb  0.4481  0.1231  0.5368
Tb  0.8776  0.5528  0.9636
Tb  0.8769  0.5519  0.4632
Tb  0.9115  0.0923  0.2501
Tb  0.9077  0.0885  0.7499
Tm  0.5000  0.5000  0.0000
Tm  0.5000  0.5000  0.5000
Sc  0.0002  0.4992  0.7504
Sc  0.0000  0.0000  0.0000
Sc  0.0000  0.0000  0.5000
Sc  0.5008  0.9998  0.2496
Sc  0.4992  0.0002  0.7504
Sc  0.9998  0.5008  0.2496

Energy above the most stable polymorph in this dataset (meV/atom): 0
Formation energy (eV/atom): 0.148
VASP energy (eV per atom): -4.932
N(E_F) (states/eV/cell): 37.35

---

Entry 7:
# YZrPb2

A geometry-optimized YZrPb2 structure (PBE-GGA, Alexandria via LeMat-Bulk).

Cell: 4.2018 4.2018 6.2163 Å, 90.00 90.00 90.00°
Atoms (fractional coordinates):
Pb  0.0000  0.0000  0.9768
Pb  0.5000  0.5000  0.2683
Y  0.0000  0.0000  0.4912
Zr  0.5000  0.5000  0.7636

Formation energy (eV/atom): -0.143
VASP energy (eV per atom): -5.750
N(E_F) (states/eV/cell): 3.08